VASP calculation (GGA+U) on crystalline K3HgMo2O8 at its relaxed geometry.

Unit cell a=6.2874 b=6.2874 c=8.0673 alpha=90.00 beta=90.00 gamma=120.00
Positions (direct):
K 0.0000 0.0000 0.0000
K 0.3333 0.6667 0.6627
K 0.6667 0.3333 0.3373
Hg 0.0000 0.0000 0.5000
Mo 0.3333 0.6667 0.1990
Mo 0.6667 0.3333 0.8010
O 0.1781 0.3563 0.2784
O 0.1781 0.8219 0.2784
O 0.3333 0.6667 0.9784
O 0.3563 0.1781 0.7216
O 0.6437 0.8219 0.2784
O 0.6667 0.3333 0.0216
O 0.8219 0.1781 0.7216
O 0.8219 0.6437 0.7216

calculated total energy: -5.68 eV per atom
D(E_F): 2.6 states/eV per cell